# PBE CoSi4Hg, optimized geometry
# Total energy = -25.057 eV/f.u.
# Magnetization = 6.01 μB per cell
# Uncorrected formation energy = 673.8 meV per atom
data_CoSi4Hg
_symmetry_space_group_name_H-M 'F -4 3 m'
_symmetry_Int_Tables_number 216
_symmetry_space_group_name_Hall 'F -4 2 3'
_cell_length_a 7.251
_cell_length_b 7.251
_cell_length_c 7.251
_cell_angle_alpha 90.00
_cell_angle_beta 90.00
_cell_angle_gamma 90.00
loop_
_atom_site_label
_atom_site_type_symbol
_atom_site_fract_x
_atom_site_fract_y
_atom_site_fract_z
Co1 Co 0.000 0.000 0.000
Si1 Si 0.126 0.126 0.374
Hg1 Hg 0.250 0.250 0.750

# PBE CoSiHg2, optimized geometry
# Total energy = -10.832 eV/f.u.
# Magnetization = 1.02 μB per cell
# Uncorrected formation energy = 575.2 meV per atom
data_CoSiHg2
_symmetry_space_group_name_H-M 'P 4/m m m'
_symmetry_Int_Tables_number 123
_symmetry_space_group_name_Hall '-P 4 2'
_cell_length_a 3.585
_cell_length_b 3.585
_cell_length_c 5.493
_cell_angle_alpha 90.00
_cell_angle_beta 90.00
_cell_angle_gamma 90.00
loop_
_atom_site_label
_atom_site_type_symbol
_atom_site_fract_x
_atom_site_fract_y
_atom_site_fract_z
Co1 Co 0.000 0.000 0.000
Si1 Si 0.000 0.000 0.500
Hg1 Hg 0.500 0.500 0.246

# PBE CoSiHg2, optimized geometry
# Total energy = -11.925 eV/f.u.
# Magnetization = 0.00 μB per cell
# Uncorrected formation energy = 301.8 meV per atom
data_CoSiHg2
_symmetry_space_group_name_H-M 'P 1 m 1'
_symmetry_Int_Tables_number 6
_cell_length_a 4.159
_cell_length_b 3.611
_cell_length_c 5.237
_cell_angle_alpha 90.00
_cell_angle_beta 113.30
_cell_angle_gamma 90.00
loop_
_symmetry_equiv_pos_as_xyz
'x,y,z'
'x,-y,z'
loop_
_atom_site_label
_atom_site_type_symbol
_atom_site_fract_x
_atom_site_fract_y
_atom_site_fract_z
Co1 Co 0.000 0.000 0.000
Si1 Si 0.133 0.500 0.265
Hg1 Hg 0.415 0.500 0.830
Hg2 Hg 0.715 0.000 0.431

# PBE CoSiHg2, optimized geometry
# Total energy = -10.691 eV/f.u.
# Magnetization = 1.23 μB per cell
# Uncorrected formation energy = 610.4 meV per atom
data_CoSiHg2
_symmetry_space_group_name_H-M 'P 1 2/m 1'
_symmetry_Int_Tables_number 10
_cell_length_a 3.077
_cell_length_b 5.000
_cell_length_c 4.814
_cell_angle_alpha 90.00
_cell_angle_beta 96.14
_cell_angle_gamma 90.00
loop_
_symmetry_equiv_pos_as_xyz
'x,y,z'
'-x,-y,-z'
'-x,y,-z'
'x,-y,z'
loop_
_atom_site_label
_atom_site_type_symbol
_atom_site_fract_x
_atom_site_fract_y
_atom_site_fract_z
Co1 Co 0.000 0.000 0.000
Si1 Si 0.500 0.000 0.500
Hg1 Hg 0.261 0.500 0.244

# PBE Co2Si2Hg, optimized geometry
# ΔE to the lowest computed polymorph = 0.000 eV per atom
# Total energy = -26.208 eV/f.u.
# Magnetization = 0.00 μB per cell
# Uncorrected formation energy = -169.6 meV per atom
data_Co2Si2Hg
_symmetry_space_group_name_H-M 'I 4/m m m'
_symmetry_Int_Tables_number 139
_symmetry_space_group_name_Hall '-I 4 2'
_cell_length_a 3.521
_cell_length_b 3.521
_cell_length_c 11.154
_cell_angle_alpha 90.00
_cell_angle_beta 90.00
_cell_angle_gamma 90.00
loop_
_atom_site_label
_atom_site_type_symbol
_atom_site_fract_x
_atom_site_fract_y
_atom_site_fract_z
Co1 Co 0.000 0.000 0.118
Si1 Si 0.000 0.500 0.250
Hg1 Hg 0.000 0.000 0.500

# PBE CoSiHg2, optimized geometry
# Total energy = -12.024 eV/f.u.
# Magnetization = 0.00 μB per cell
# Uncorrected formation energy = 277.0 meV per atom
data_CoSiHg2
_symmetry_space_group_name_H-M 'I m m 2'
_symmetry_Int_Tables_number 44
_cell_length_a 2.876
_cell_length_b 4.578
_cell_length_c 11.544
_cell_angle_alpha 90.00
_cell_angle_beta 90.00
_cell_angle_gamma 90.00
loop_
_symmetry_equiv_pos_as_xyz
'x,y,z'
'-x,-y,z'
'-x,y,z'
'x,-y,z'
'x+1/2,y+1/2,z+1/2'
'-x+1/2,-y+1/2,z+1/2'
'-x+1/2,y+1/2,z+1/2'
'x+1/2,-y+1/2,z+1/2'
loop_
_atom_site_label
_atom_site_type_symbol
_atom_site_fract_x
_atom_site_fract_y
_atom_site_fract_z
Co1 Co 0.000 0.000 0.000
Si1 Si 0.000 0.500 0.350
Hg1 Hg 0.000 0.000 0.516
Hg2 Hg 0.000 0.500 0.711